This record from Alexandria via LeMat-Bulk describes La5Pm4Cd2 after structural relaxation. The functional is PBE.

Computed properties:
- SG = P2/m, No. 10
- total DFT energy (no corrections) (eV per atom) = -4.167
- formation energy (eV/atom) = -0.034
- Fermi-level density of states (states/eV/f.u.) = 14.79
- size of the total moment (Bohr magnetons per cell) = 0.000
- mass density (g cm⁻³) = 6.84

abc: 8.834 3.615 11.464
angles: 90.00 96.06 90.00
Atoms (fractional coordinates):
La 0.000 0.000 0.000
La 0.042 0.000 0.302
La 0.307 0.000 0.843
La 0.693 0.000 0.157
La 0.958 0.000 0.698
Pm 0.252 0.500 0.553
Pm 0.338 0.500 0.136
Pm 0.662 0.500 0.864
Pm 0.748 0.500 0.447
Cd 0.436 0.000 0.369
Cd 0.564 0.000 0.631

=====

This record from Alexandria via LeMat-Bulk describes La3PmCd4 after structural relaxation. The functional is PBE.

Computed properties:
- SG = P4/mmm, No. 123
- total DFT energy (no corrections) (eV per atom) = -3.224
- formation energy (eV/atom) = -0.324
- Fermi-level density of states (states/eV/f.u.) = 11.03
- size of the total moment (Bohr magnetons per cell) = 1.311
- mass density (g cm⁻³) = 7.02

abc: 3.905 3.905 15.693
angles: 90.00 90.00 90.00
Atoms (fractional coordinates):
La 0.000 0.000 0.000
La 0.000 0.000 0.254
La 0.000 0.000 0.746
Pm 0.000 0.000 0.500
Cd 0.500 0.500 0.126
Cd 0.500 0.500 0.383
Cd 0.500 0.500 0.617
Cd 0.500 0.500 0.874

=====

This record from Alexandria via LeMat-Bulk describes LaPmCd17 after structural relaxation. The functional is PBE.

Computed properties:
- SG = R3m, No. 160
- total DFT energy (no corrections) (eV per atom) = -1.496
- formation energy (eV/atom) = -0.168
- Fermi-level density of states (states/eV/f.u.) = 4.49
- size of the total moment (Bohr magnetons per cell) = 0.000
- mass density (g cm⁻³) = 8.21

abc: 7.692 7.692 7.692
angles: 82.29 82.29 82.29
Atoms (fractional coordinates):
La 0.000 0.000 0.000
Pm 0.338 0.338 0.338
Cd 0.035 0.035 0.481
Cd 0.035 0.481 0.035
Cd 0.153 0.680 0.680
Cd 0.316 0.316 0.806
Cd 0.316 0.806 0.316
Cd 0.368 0.665 0.968
Cd 0.368 0.968 0.665
Cd 0.481 0.035 0.035
Cd 0.563 0.563 0.563
Cd 0.665 0.368 0.968
Cd 0.665 0.968 0.368
Cd 0.680 0.153 0.680
Cd 0.680 0.680 0.153
Cd 0.763 0.763 0.763
Cd 0.806 0.316 0.316
Cd 0.968 0.368 0.665
Cd 0.968 0.665 0.368

=====

This record from Alexandria via LeMat-Bulk describes La15Pm4Cd after structural relaxation. The functional is PBE.

Computed properties:
- SG = P4/mmm, No. 123
- total DFT energy (no corrections) (eV per atom) = -4.708
- formation energy (eV/atom) = -0.016
- Fermi-level density of states (states/eV/f.u.) = 29.88
- size of the total moment (Bohr magnetons per cell) = 0.000
- mass density (g cm⁻³) = 6.50

abc: 5.206 5.206 26.172
angles: 90.00 90.00 90.00
Atoms (fractional coordinates):
La 0.000 0.000 0.000
La 0.000 0.000 0.197
La 0.000 0.000 0.399
La 0.000 0.000 0.601
La 0.000 0.000 0.803
La 0.000 0.500 0.097
La 0.000 0.500 0.297
La 0.000 0.500 0.500
La 0.000 0.500 0.703
La 0.000 0.500 0.903
La 0.500 0.000 0.097
La 0.500 0.000 0.297
La 0.500 0.000 0.500
La 0.500 0.000 0.703
La 0.500 0.000 0.903
Pm 0.500 0.500 0.196
Pm 0.500 0.500 0.399
Pm 0.500 0.500 0.601
Pm 0.500 0.500 0.804
Cd 0.500 0.500 0.000